A plane-wave DFT calculation with PBEsol was carried out for an optimized crystal structure of CdTe. Values from VASP.

Space-group type ... No. 166
Total magnetic moment ... 0.00 Bohr magnetons per cell
Formation energy from raw total energies ... -0.286 eV/atom

Quantum ESPRESSO input file:
```
&SYSTEM
  ibrav = 0, nat = 4, ntyp = 2
/
ATOMIC_SPECIES
Cd 112.41 Cd.upf
Te 127.60 Te.upf
CELL_PARAMETERS angstrom
-2.636 1.531 3.405
-4.519 0.345 -0.587
-3.291 -6.773 3.566
ATOMIC_POSITIONS crystal
Cd 0.208 0.208 0.375
Cd 0.792 0.792 0.625
Te 0.083 0.083 0.752
Te 0.917 0.917 0.248
```

=====

A plane-wave DFT calculation with PBEsol was carried out for an optimized crystal structure of YZn2. Values from VASP.

Space-group type ... No. 71
Total magnetic moment ... 0.00 Bohr magnetons per cell
Energy of formation from the pure elements ... -300 meV/atom

Quantum ESPRESSO input file:
```
&SYSTEM
  ibrav = 0, nat = 6, ntyp = 2
/
ATOMIC_SPECIES
Zn 65.41 Zn.upf
Y 88.91 Y.upf
CELL_PARAMETERS angstrom
3.999 0.000 0.000
0.000 5.725 -0.001
-2.000 -2.861 5.132
ATOMIC_POSITIONS crystal
Zn 0.617 0.117 0.235
Y 0.323 0.323 0.647
Zn 0.383 0.883 0.765
Zn 0.000 0.239 0.000
Zn 0.000 0.761 0.000
Y 0.677 0.677 0.353
```

=====

A plane-wave DFT calculation with PBEsol was carried out for an optimized crystal structure of Cd2TeW. Values from VASP.

Space-group type ... No. 166
Total magnetic moment ... 0.00 Bohr magnetons per cell
Formation energy from raw total energies ... 0.592 eV/atom

Quantum ESPRESSO input file:
```
&SYSTEM
  ibrav = 0, nat = 4, ntyp = 3
/
ATOMIC_SPECIES
Cd 112.41 Cd.upf
Te 127.60 Te.upf
W 183.84 W.upf
CELL_PARAMETERS angstrom
2.982 0.000 0.000
1.491 2.582 0.000
1.491 0.861 10.925
ATOMIC_POSITIONS crystal
Cd 0.739 0.739 0.783
Te 0.500 0.500 0.500
W 0.000 0.000 0.000
Cd 0.261 0.261 0.217
```

=====

A plane-wave DFT calculation with PBEsol was carried out for an optimized crystal structure of Fe3NiN. Values from VASP.

Space-group type ... No. 221
Total magnetic moment ... 6.89 Bohr magnetons per cell
Formation energy from raw total energies ... -0.117 eV/atom

Quantum ESPRESSO input file:
```
&SYSTEM
  ibrav = 0, nat = 5, ntyp = 3
/
ATOMIC_SPECIES
N 14.01 N.upf
Fe 55.84 Fe.upf
Ni 58.69 Ni.upf
CELL_PARAMETERS angstrom
3.690 0.000 0.000
0.000 3.690 0.000
0.000 0.000 3.690
ATOMIC_POSITIONS crystal
N 0.500 0.500 0.500
Fe 0.500 0.500 0.000
Fe 0.500 0.000 0.500
Ni 0.000 0.000 0.000
Fe 0.000 0.500 0.500
```